1.
## Rb4Ag (GGA-PBE)

Data for an optimized crystal structure of Rb4Ag.

Summary:
- energy above the lowest structure with this stoichiometry (meV per atom) = 7
- SG = Pm-3m (221)
- formation energy from the elements (eV/atom) = 0.05
- total moment (μB per formula unit) = 0.000

Unit cell a=7.166 b=7.166 c=7.166 alpha=90.00 beta=90.00 gamma=90.00
Fractional coordinates of all 5 atoms:
Rb 0.000 0.000 0.000
Rb 0.000 0.500 0.500
Rb 0.500 0.000 0.500
Rb 0.500 0.500 0.000
Ag 0.500 0.500 0.500

***

2.
## RbAg (GGA-PBE)

Data for an optimized crystal structure of RbAg.

Summary:
- SG = Amm2 (38)
- formation energy from the elements (eV/atom) = 0.16
- total moment (μB per formula unit) = 0.000

Unit cell a=4.542 b=14.956 c=8.617 alpha=90.00 beta=90.00 gamma=90.00
Fractional coordinates of all 12 atoms:
Rb 0.000 0.000 0.000
Rb 0.000 0.166 0.499
Rb 0.000 0.334 0.999
Rb 0.000 0.500 0.500
Rb 0.000 0.666 0.999
Rb 0.000 0.834 0.499
Ag 0.500 0.000 0.667
Ag 0.500 0.167 0.166
Ag 0.500 0.333 0.666
Ag 0.500 0.500 0.167
Ag 0.500 0.667 0.666
Ag 0.500 0.833 0.166

***

3.
## RbAg6 (GGA-PBE)

Data for an optimized crystal structure of RbAg6.

Summary:
- energy above the lowest structure with this stoichiometry (meV per atom) = 0
- SG = Pnma (62)
- formation energy from the elements (eV/atom) = 0.11
- total moment (μB per formula unit) = 0.000

Unit cell a=9.313 b=5.837 c=11.601 alpha=90.00 beta=90.00 gamma=90.00
Fractional coordinates of all 28 atoms:
Rb 0.239 0.250 0.062
Rb 0.261 0.750 0.562
Rb 0.739 0.250 0.438
Rb 0.761 0.750 0.938
Ag 0.063 0.006 0.308
Ag 0.063 0.494 0.308
Ag 0.070 0.750 0.096
Ag 0.105 0.250 0.518
Ag 0.151 0.750 0.854
Ag 0.183 0.250 0.758
Ag 0.317 0.750 0.258
Ag 0.349 0.250 0.354
Ag 0.395 0.750 0.018
Ag 0.430 0.250 0.596
Ag 0.437 0.506 0.808
Ag 0.437 0.994 0.808
Ag 0.563 0.006 0.192
Ag 0.563 0.494 0.192
Ag 0.570 0.750 0.404
Ag 0.605 0.250 0.982
Ag 0.651 0.750 0.646
Ag 0.683 0.250 0.742
Ag 0.817 0.750 0.242
Ag 0.849 0.250 0.146
Ag 0.895 0.750 0.482
Ag 0.930 0.250 0.904
Ag 0.937 0.506 0.692
Ag 0.937 0.994 0.692

***

4.
## Rb6Ag (GGA-PBE)

Data for an optimized crystal structure of Rb6Ag.

Summary:
- energy above the lowest structure with this stoichiometry (meV per atom) = 478
- SG = Im-3m (229)
- formation energy from the elements (eV/atom) = 0.51
- total moment (μB per formula unit) = 0.000

Unit cell a=12.270 b=12.270 c=12.270 alpha=90.00 beta=90.00 gamma=90.00
Fractional coordinates of all 14 atoms:
Rb 0.000 0.250 0.500
Rb 0.000 0.500 0.250
Rb 0.000 0.500 0.750
Rb 0.000 0.750 0.500
Rb 0.250 0.000 0.500
Rb 0.250 0.500 0.000
Rb 0.500 0.000 0.250
Rb 0.500 0.000 0.750
Rb 0.500 0.250 0.000
Rb 0.500 0.750 0.000
Rb 0.750 0.000 0.500
Rb 0.750 0.500 0.000
Ag 0.000 0.000 0.000
Ag 0.500 0.500 0.500

***

5.
## RbAg (GGA-PBE)

Data for an optimized crystal structure of RbAg.

Summary:
- SG = Pmmn (59)
- formation energy from the elements (eV/atom) = 0.11
- total moment (μB per formula unit) = 0.000

Unit cell a=4.988 b=16.602 c=5.855 alpha=90.00 beta=90.00 gamma=90.00
Fractional coordinates of all 12 atoms:
Rb 0.250 0.067 0.249
Rb 0.250 0.433 0.249
Rb 0.250 0.750 0.742
Rb 0.750 0.250 0.258
Rb 0.750 0.567 0.751
Rb 0.750 0.933 0.751
Ag 0.250 0.250 0.757
Ag 0.250 0.658 0.243
Ag 0.250 0.842 0.243
Ag 0.750 0.158 0.757
Ag 0.750 0.342 0.757
Ag 0.750 0.750 0.243

***

6.
## RbAg (GGA-PBE)

Data for an optimized crystal structure of RbAg.

Summary:
- SG = I4/m (87)
- formation energy from the elements (eV/atom) = 0.14
- total moment (μB per formula unit) = 0.000

Unit cell a=11.748 b=11.748 c=5.654 alpha=90.00 beta=90.00 gamma=90.00
Fractional coordinates of all 16 atoms:
Rb 0.084 0.265 0.000
Rb 0.235 0.584 0.500
Rb 0.265 0.916 0.000
Rb 0.416 0.235 0.500
Rb 0.584 0.765 0.500
Rb 0.735 0.084 0.000
Rb 0.765 0.416 0.500
Rb 0.916 0.735 0.000
Ag 0.073 0.847 0.500
Ag 0.153 0.073 0.500
Ag 0.347 0.427 0.000
Ag 0.427 0.653 0.000
Ag 0.573 0.347 0.000
Ag 0.653 0.573 0.000
Ag 0.847 0.927 0.500
Ag 0.927 0.153 0.500

***

7.
## Rb6Ag (GGA-PBE)

Data for an optimized crystal structure of Rb6Ag.

Summary:
- energy above the lowest structure with this stoichiometry (meV per atom) = 0
- SG = Pnma (62)
- formation energy from the elements (eV/atom) = 0.04
- total moment (μB per formula unit) = 0.000

Unit cell a=16.597 b=15.112 c=8.711 alpha=90.00 beta=90.00 gamma=90.00
Fractional coordinates of all 28 atoms:
Rb 0.001 0.082 0.247
Rb 0.001 0.418 0.247
Rb 0.004 0.250 0.743
Rb 0.245 0.750 0.915
Rb 0.248 0.583 0.413
Rb 0.248 0.917 0.413
Rb 0.252 0.083 0.913
Rb 0.252 0.417 0.913
Rb 0.255 0.250 0.415
Rb 0.496 0.750 0.243
Rb 0.499 0.582 0.747
Rb 0.499 0.918 0.747
Rb 0.501 0.082 0.253
Rb 0.501 0.418 0.253
Rb 0.504 0.250 0.757
Rb 0.745 0.750 0.585
Rb 0.748 0.583 0.087
Rb 0.748 0.917 0.087
Rb 0.752 0.083 0.587
Rb 0.752 0.417 0.587
Rb 0.755 0.250 0.085
Rb 0.996 0.750 0.257
Rb 0.999 0.582 0.753
Rb 0.999 0.918 0.753
Ag 0.127 0.250 0.082
Ag 0.373 0.750 0.582
Ag 0.627 0.250 0.418
Ag 0.873 0.750 0.918

***

8.
## RbAg (GGA-PBE)

Data for an optimized crystal structure of RbAg.

Summary:
- SG = P6_3/mmc (194)
- formation energy from the elements (eV/atom) = 0.11
- total moment (μB per formula unit) = 0.101

Unit cell a=10.154 b=10.154 c=5.745 alpha=90.00 beta=90.00 gamma=120.00
Fractional coordinates of all 12 atoms:
Rb 0.190 0.380 0.250
Rb 0.190 0.810 0.250
Rb 0.380 0.190 0.750
Rb 0.620 0.810 0.250
Rb 0.810 0.190 0.750
Rb 0.810 0.620 0.750
Ag 0.144 0.572 0.750
Ag 0.428 0.572 0.750
Ag 0.428 0.856 0.750
Ag 0.572 0.144 0.250
Ag 0.572 0.428 0.250
Ag 0.856 0.428 0.250

***

9.
## RbAg4 (GGA-PBE)

Data for an optimized crystal structure of RbAg4.

Summary:
- SG = Pm-3m (221)
- formation energy from the elements (eV/atom) = 1.34
- total moment (μB per formula unit) = 0.000

Unit cell a=5.896 b=5.896 c=5.896 alpha=90.00 beta=90.00 gamma=90.00
Fractional coordinates of all 5 atoms:
Rb 0.000 0.000 0.000
Ag 0.000 0.000 0.500
Ag 0.000 0.500 0.000
Ag 0.500 0.000 0.000
Ag 0.500 0.500 0.500

***

10.
## RbAg (GGA-PBE)

Data for an optimized crystal structure of RbAg.

Summary:
- SG = I4/mmm (139)
- formation energy from the elements (eV/atom) = 0.10
- total moment (μB per formula unit) = 0.000

Unit cell a=12.619 b=12.619 c=5.054 alpha=90.00 beta=90.00 gamma=90.00
Fractional coordinates of all 16 atoms:
Rb 0.000 0.251 0.000
Rb 0.000 0.749 0.000
Rb 0.249 0.500 0.500
Rb 0.251 0.000 0.000
Rb 0.500 0.249 0.500
Rb 0.500 0.751 0.500
Rb 0.749 0.000 0.000
Rb 0.751 0.500 0.500
Ag 0.217 0.217 0.500
Ag 0.217 0.783 0.500
Ag 0.283 0.283 0.000
Ag 0.283 0.717 0.000
Ag 0.717 0.283 0.000
Ag 0.717 0.717 0.000
Ag 0.783 0.217 0.500
Ag 0.783 0.783 0.500

***

11.
## Rb4Ag (GGA-PBE)

Data for an optimized crystal structure of Rb4Ag.

Summary:
- energy above the lowest structure with this stoichiometry (meV per atom) = 0
- SG = Ibam (72)
- formation energy from the elements (eV/atom) = 0.05
- total moment (μB per formula unit) = 0.000

Unit cell a=10.989 b=10.989 c=10.989 alpha=129.78 beta=68.42 gamma=136.71
Fractional coordinates of all 10 atoms:
Rb 0.075 0.696 0.770
Rb 0.164 0.143 0.307
Rb 0.336 0.643 0.979
Rb 0.425 0.196 0.621
Rb 0.575 0.804 0.379
Rb 0.664 0.357 0.021
Rb 0.836 0.857 0.693
Rb 0.925 0.304 0.230
Ag 0.250 0.250 0.000
Ag 0.750 0.750 0.000

***

12.
## RbAg (GGA-PBE)

Data for an optimized crystal structure of RbAg.

Summary:
- SG = I-43m (217)
- formation energy from the elements (eV/atom) = 0.15
- total moment (μB per formula unit) = 0.000

Unit cell a=10.411 b=10.411 c=10.411 alpha=90.00 beta=90.00 gamma=90.00
Fractional coordinates of all 16 atoms:
Rb 0.208 0.208 0.208
Rb 0.208 0.792 0.792
Rb 0.292 0.292 0.708
Rb 0.292 0.708 0.292
Rb 0.708 0.292 0.292
Rb 0.708 0.708 0.708
Rb 0.792 0.208 0.792
Rb 0.792 0.792 0.208
Ag 0.098 0.098 0.902
Ag 0.098 0.902 0.098
Ag 0.402 0.402 0.402
Ag 0.402 0.598 0.598
Ag 0.598 0.402 0.598
Ag 0.598 0.598 0.402
Ag 0.902 0.098 0.098
Ag 0.902 0.902 0.902